1.
DFT (GGA-PBE) results for a geometry-optimized Li2PmSnS4 structure.

Cell: 5.5055 5.5055 11.1485 Å, 90.00 90.00 90.00°
Sites, in units of the cell vectors:
Li: 0.0000 0.0000 0.0000
Li: 0.0000 0.5000 0.2500
Li: 0.5000 0.0000 0.7500
Li: 0.5000 0.5000 0.5000
Pm: 0.0000 0.5000 0.7500
Pm: 0.5000 0.0000 0.2500
Sn: 0.0000 0.0000 0.5000
Sn: 0.5000 0.5000 0.0000
S: 0.0000 0.0000 0.2554
S: 0.0000 0.0000 0.7446
S: 0.0000 0.5000 0.0036
S: 0.0000 0.5000 0.4964
S: 0.5000 0.0000 0.5036
S: 0.5000 0.0000 0.9964
S: 0.5000 0.5000 0.2446
S: 0.5000 0.5000 0.7554

Values from the calculation:
spin magnetization = 0.00 Bohr magnetons per cell
ΔE_f (raw) = -1.2430 eV per atom

---

2.
DFT (GGA-PBE) results for a geometry-optimized LiPm2SnS5 structure.

Cell: 8.8519 8.8519 11.4561 Å, 90.00 90.00 154.09°
Sites, in units of the cell vectors:
Li: 0.2281 0.7719 0.5000
Li: 0.7719 0.2281 0.0000
Pm: 0.1224 0.8776 0.7973
Pm: 0.1288 0.8712 0.1765
Pm: 0.8712 0.1288 0.6765
Pm: 0.8776 0.1224 0.2973
Sn: 0.4157 0.5843 0.9770
Sn: 0.5843 0.4157 0.4770
S: 0.0278 0.9722 0.5864
S: 0.2962 0.7038 0.8274
S: 0.3037 0.6963 0.1487
S: 0.3633 0.6367 0.4907
S: 0.4885 0.5115 0.7809
S: 0.5115 0.4885 0.2809
S: 0.6367 0.3633 0.9907
S: 0.6963 0.3037 0.6487
S: 0.7038 0.2962 0.3274
S: 0.9722 0.0278 0.0864

Values from the calculation:
spin magnetization = 0.00 Bohr magnetons per cell
ΔE_f (raw) = -1.3919 eV per atom

---

3.
DFT (GGA-PBE) results for a geometry-optimized LiPmSn2S4 structure.

Cell: 6.8876 4.0713 7.1549 Å, 90.00 108.66 90.00°
Sites, in units of the cell vectors:
Li: 0.0000 0.0000 0.0000
Pm: 0.5000 0.5000 0.0000
Sn: 0.0000 0.5000 0.5000
Sn: 0.5000 0.0000 0.5000
S: 0.2472 0.5000 0.2375
S: 0.2526 0.0000 0.7659
S: 0.7474 0.0000 0.2341
S: 0.7528 0.5000 0.7625

Values from the calculation:
spin magnetization = 0.00 Bohr magnetons per cell
ΔE_f (raw) = -1.0482 eV per atom

---

Q: spin magnetization of number 3 (LiPmSn2S4)?
A: 0.00 Bohr magnetons per cell

---

Q: Which formula does entry 2 have?
A: LiPm2SnS5